# 1
AcCe2Pr3P6 | PBE-GGA | optimized geometry

The density of states at the Fermi level is 0.88 states/eV/atom. Its electronic total energy is -80.653 eV per cell. As for the symmetry: C2/m, No. 12. The value obtained for the calculated density is 5.9 Mg/m³.

Lattice parameters (Å, degrees): 7.291 7.291 7.288 99.61 99.61 119.99
Sites, in units of the cell vectors:
Ac1 0.000 0.000 0.000
Ce1 0.333 0.667 0.000
Ce2 0.667 0.333 0.000
Pr1 0.165 0.835 0.500
Pr2 0.500 0.500 0.500
Pr3 0.835 0.165 0.500
P1 0.083 0.429 0.247
P2 0.264 0.264 0.754
P3 0.429 0.083 0.247
P4 0.571 0.917 0.753
P5 0.736 0.736 0.246
P6 0.917 0.571 0.753


# 2
Ac3CePr2P6 | PBE-GGA | optimized geometry

The density of states at the Fermi level is 0.46 states/eV/atom. Its electronic total energy is -77.985 eV per cell. As for the symmetry: C2/m, No. 12. The value obtained for the calculated density is 6.3 Mg/m³.

Lattice parameters (Å, degrees): 7.448 7.448 7.477 99.56 99.56 119.98
Sites, in units of the cell vectors:
Ac1 0.000 0.000 0.000
Ac2 0.332 0.668 0.000
Ac3 0.668 0.332 0.000
Ce1 0.500 0.500 0.500
Pr1 0.166 0.834 0.500
Pr2 0.834 0.166 0.500
P1 0.095 0.422 0.266
P2 0.252 0.252 0.734
P3 0.422 0.095 0.266
P4 0.578 0.905 0.734
P5 0.748 0.748 0.266
P6 0.905 0.578 0.734